VASP calculation (PBE) on crystalline DyHo2FeCo2Ni6 at its relaxed geometry.

## Properties
- ΔH_f (0 K): -0.290 eV/atom
- Space group: R-3m
- E_tot: -6.097 eV per atom

Lattice parameters (Å, degrees): 8.537 8.537 8.537 33.80 33.80 33.80
Atoms (fractional coordinates):
Dy: 0.000 0.000 0.000
Ho: 0.139 0.139 0.139
Ho: 0.861 0.861 0.861
Fe: 0.500 0.500 0.500
Co: 0.333 0.333 0.333
Co: 0.667 0.667 0.667
Ni: 0.083 0.582 0.582
Ni: 0.418 0.418 0.917
Ni: 0.418 0.917 0.418
Ni: 0.582 0.083 0.582
Ni: 0.582 0.582 0.083
Ni: 0.917 0.418 0.418

VASP calculation (PBE) on crystalline YTl2AgF6 at its relaxed geometry.

## Properties
- Space group: Fm-3m
- E_tot: -4.989 eV per atom

Lattice parameters (Å, degrees): 6.260 6.260 6.260 60.00 60.00 60.00
Atoms (fractional coordinates):
Y: 0.000 0.000 0.000
Tl: 0.250 0.250 0.250
Tl: 0.750 0.750 0.750
Ag: 0.500 0.500 0.500
F: 0.240 0.240 0.760
F: 0.240 0.760 0.240
F: 0.240 0.760 0.760
F: 0.760 0.240 0.240
F: 0.760 0.240 0.760
F: 0.760 0.760 0.240